[1]
Below is a geometry-optimized Cs3ScN structure, with properties calculated at the PBEsol level.

The structure belongs to space group Pm-3m (No. 221); the cell edges are 7.465, 7.465 and 7.465 Å and the angles 90.00°, 90.00° and 90.00°. The asymmetric unit holds Cs at (0.000, 0.000, 0.500), Sc at (0.000, 0.000, 0.000) and N at (0.500, 0.500, 0.500).

The calculation puts the uncorrected formation energy at 8.2 eV per formula unit. For the total energy, the calculation gives -9.74 eV for the cell shown. As for the total magnetic moment: 1.101 μB/atom. As for the crystal system: cubic.

***

[2]
Below is a geometry-optimized ZnReO2 structure, with properties calculated at the PBEsol level.

The structure belongs to space group R-3m (No. 166, hexagonal axes); the cell edges are 2.7165, 2.7165 and 21.7898 Å and the angles 90.00°, 90.00° and 120.00°. The asymmetric unit holds Zn at (0.0000, 0.0000, 0.0000), Re at (0.0000, 0.0000, 0.5000) and O at (0.0000, 0.0000, 0.1044).

The calculation puts the uncorrected formation energy at -3.5 eV per formula unit. For the total energy, the calculation gives -86.83 eV for the cell shown. As for the total magnetic moment: 0.000 μB/atom. As for the crystal system: trigonal.

***

[3]
Below is a geometry-optimized MoH3Pb structure, with properties calculated at the PBEsol level.

The structure belongs to space group Pm-3m (No. 221); the cell edges are 3.711, 3.711 and 3.711 Å and the angles 90.00°, 90.00° and 90.00°. The asymmetric unit holds Mo at (0.000, 0.000, 0.000), H at (0.000, 0.000, 0.500) and Pb at (0.500, 0.500, 0.500).

For the total energy, the calculation gives -23.81 eV for the cell shown. As for the total magnetic moment: 0.129 μB/atom. As for the crystal system: cubic.

***

[4]
Below is a geometry-optimized KHf3Cl structure, with properties calculated at the PBEsol level.

The structure belongs to space group Pm-3m (No. 221); the cell edges are 4.965, 4.965 and 4.965 Å and the angles 90.00°, 90.00° and 90.00°. The asymmetric unit holds K at (0.000, 0.000, 0.000), Hf at (0.000, 0.000, 0.500) and Cl at (0.500, 0.500, 0.500).

The calculation puts the uncorrected formation energy at 11.2 eV per formula unit. For the total energy, the calculation gives -23.47 eV for the cell shown. The value obtained for the offset from the most stable computed form is 38.434 kcal/mol of atoms. As for the total magnetic moment: 0.000 μB/atom. As for the crystal system: cubic.

***

Question: total magnetic moment of number 2 (ZnReO2)?
Answer: 0.000 μB/atom

***

Question: Which value of total magnetic moment does entry 2 give?
Answer: 0.000 μB/atom

***

Question: What is the total magnetic moment in the second record?
Answer: 0.000 μB/atom